[1]
VASP calculation (GGA-PBEsol) on a relaxed structure of SbMoIr2F.

```
data_SbMoIr2F
_chemical_formula_sum 'Sb1 Mo1 Ir2 F1'
_space_group_name_H-M_alt 'P 1'
_space_group_IT_number 1
_cell_length_a 3.893
_cell_length_b 4.497
_cell_length_c 4.497
_cell_angle_alpha 90.00
_cell_angle_beta 90.00
_cell_angle_gamma 90.00
loop_
_space_group_symop_operation_xyz
'x,y,z'
loop_
_atom_site_label
_atom_site_fract_x
_atom_site_fract_y
_atom_site_fract_z
Sb1 0.500 0.500 0.500
Mo1 0.500 0.000 0.000
F1 0.000 0.000 0.000
Ir1 0.000 0.500 0.000
Ir2 0.000 0.000 0.500
```

Output
Raw formation energy in meV per atom: 861
Symmetry: No. 123


[2]
VASP calculation (GGA-PBEsol) on a relaxed structure of Nb4Pd.

```
data_Nb4Pd
_chemical_formula_sum 'Nb4 Pd1'
_space_group_name_H-M_alt 'P 1'
_space_group_IT_number 1
_cell_length_a 2.781
_cell_length_b 2.781
_cell_length_c 11.505
_cell_angle_alpha 95.09
_cell_angle_beta 95.09
_cell_angle_gamma 105.44
loop_
_space_group_symop_operation_xyz
'x,y,z'
loop_
_atom_site_label
_atom_site_fract_x
_atom_site_fract_y
_atom_site_fract_z
Pd1 0.000 0.000 0.000
Nb1 0.198 0.198 0.395
Nb2 0.405 0.405 0.810
Nb3 0.595 0.595 0.190
Nb4 0.802 0.802 0.605
```

Output
Symmetry: No. 69
E_form in meV/atom: -128


[3]
VASP calculation (GGA-PBEsol) on a relaxed structure of UTeN.

```
data_UTeN
_chemical_formula_sum 'U2 Te2 N2'
_space_group_name_H-M_alt 'P 1'
_space_group_IT_number 1
_cell_length_a 3.871
_cell_length_b 3.871
_cell_length_c 7.417
_cell_angle_alpha 90.00
_cell_angle_beta 90.00
_cell_angle_gamma 90.00
loop_
_space_group_symop_operation_xyz
'x,y,z'
loop_
_atom_site_label
_atom_site_fract_x
_atom_site_fract_y
_atom_site_fract_z
N1 0.000 0.000 0.000
N2 0.500 0.500 0.000
U1 0.500 0.000 0.847
U2 0.000 0.500 0.153
Te1 0.000 0.500 0.631
Te2 0.500 0.000 0.369
```

Output
Raw formation energy in meV per atom: -1274
Symmetry: No. 129


[4]
VASP calculation (GGA-PBEsol) on a relaxed structure of Na2CoPd.

```
data_Na2CoPd
_chemical_formula_sum 'Na4 Co2 Pd2'
_space_group_name_H-M_alt 'P 1'
_space_group_IT_number 1
_cell_length_a 5.031
_cell_length_b 6.005
_cell_length_c 6.005
_cell_angle_alpha 79.89
_cell_angle_beta 65.24
_cell_angle_gamma 65.24
loop_
_space_group_symop_operation_xyz
'x,y,z'
loop_
_atom_site_label
_atom_site_fract_x
_atom_site_fract_y
_atom_site_fract_z
Pd1 0.000 0.000 0.000
Pd2 0.750 0.500 0.500
Na1 0.875 0.499 0.001
Na2 0.626 0.999 0.499
Na3 0.124 0.001 0.501
Na4 0.375 0.501 0.999
Co1 0.500 0.000 0.000
Co2 0.250 0.500 0.500
```

Output
Symmetry: No. 122
E_form in meV/atom: 756


[5]
VASP calculation (GGA-PBEsol) on a relaxed structure of YBe2Ru.

```
data_YBe2Ru
_chemical_formula_sum 'Y1 Be2 Ru1'
_space_group_name_H-M_alt 'P 1'
_space_group_IT_number 1
_cell_length_a 3.379
_cell_length_b 4.083
_cell_length_c 4.083
_cell_angle_alpha 90.00
_cell_angle_beta 90.00
_cell_angle_gamma 90.00
loop_
_space_group_symop_operation_xyz
'x,y,z'
loop_
_atom_site_label
_atom_site_fract_x
_atom_site_fract_y
_atom_site_fract_z
Be1 0.000 0.000 0.500
Be2 0.000 0.500 0.000
Ru1 0.500 0.500 0.500
Y1 0.500 0.000 0.000
```

Output
Symmetry: No. 123
E_form in meV/atom: 236


[6]
VASP calculation (GGA-PBEsol) on a relaxed structure of K3TlH.

```
data_K3TlH
_chemical_formula_sum 'K3 Tl1 H1'
_space_group_name_H-M_alt 'P 1'
_space_group_IT_number 1
_cell_length_a 5.477
_cell_length_b 5.477
_cell_length_c 5.477
_cell_angle_alpha 90.00
_cell_angle_beta 90.00
_cell_angle_gamma 90.00
loop_
_space_group_symop_operation_xyz
'x,y,z'
loop_
_atom_site_label
_atom_site_fract_x
_atom_site_fract_y
_atom_site_fract_z
Tl1 0.500 0.500 0.500
K1 0.500 0.000 0.000
K2 0.000 0.000 0.500
K3 0.000 0.500 0.000
H1 0.000 0.000 0.000
```

Output
Total energy in eV/atom: -1.888
Symmetry: No. 221


[7]
VASP calculation (GGA-PBEsol) on a relaxed structure of PNF2.

```
data_PNF2
_chemical_formula_sum 'P12 N12 F24'
_space_group_name_H-M_alt 'P 1'
_space_group_IT_number 1
_cell_length_a 7.006
_cell_length_b 8.829
_cell_length_c 11.831
_cell_angle_alpha 90.00
_cell_angle_beta 90.00
_cell_angle_gamma 90.00
loop_
_space_group_symop_operation_xyz
'x,y,z'
loop_
_atom_site_label
_atom_site_fract_x
_atom_site_fract_y
_atom_site_fract_z
F1 0.130 0.263 0.455
F2 0.130 0.263 0.073
F3 0.174 0.979 0.952
F4 0.370 0.763 0.955
F5 0.324 0.483 0.764
F6 0.326 0.479 0.452
F7 0.826 0.021 0.076
F8 0.674 0.521 0.952
F9 0.824 0.017 0.764
F10 0.676 0.517 0.264
F11 0.870 0.737 0.955
F12 0.674 0.521 0.576
F13 0.630 0.237 0.073
F14 0.176 0.983 0.264
F15 0.870 0.737 0.573
F16 0.370 0.763 0.573
F17 0.174 0.979 0.576
F18 0.132 0.266 0.764
F19 0.326 0.479 0.076
F20 0.632 0.234 0.764
F21 0.868 0.734 0.264
F22 0.368 0.766 0.264
F23 0.826 0.021 0.452
F24 0.630 0.237 0.455
N1 0.258 0.349 0.264
N2 0.986 0.508 0.150
N3 0.986 0.508 0.379
N4 0.242 0.849 0.764
N5 0.486 0.992 0.379
N6 0.514 0.008 0.650
N7 0.514 0.008 0.879
N8 0.014 0.492 0.879
N9 0.758 0.151 0.264
N10 0.742 0.651 0.764
N11 0.486 0.992 0.150
N12 0.014 0.492 0.650
P1 0.168 0.403 0.380
P2 0.168 0.403 0.149
P3 0.668 0.097 0.380
P4 0.832 0.597 0.880
P5 0.332 0.903 0.880
P6 0.668 0.097 0.149
P7 0.332 0.903 0.649
P8 0.109 0.442 0.764
P9 0.891 0.558 0.264
P10 0.832 0.597 0.649
P11 0.391 0.942 0.264
P12 0.609 0.058 0.764
```

Output
Raw formation energy in meV per atom: -1813
Symmetry: No. 62
ΔE to the lowest computed polymorph in eV per formula unit: 0.04


[8]
VASP calculation (GGA-PBEsol) on a relaxed structure of AlCr2Ru.

```
data_AlCr2Ru
_chemical_formula_sum 'Al1 Cr2 Ru1'
_space_group_name_H-M_alt 'P 1'
_space_group_IT_number 1
_cell_length_a 2.635
_cell_length_b 3.933
_cell_length_c 4.912
_cell_angle_alpha 90.00
_cell_angle_beta 103.22
_cell_angle_gamma 90.00
loop_
_space_group_symop_operation_xyz
'x,y,z'
loop_
_atom_site_label
_atom_site_fract_x
_atom_site_fract_y
_atom_site_fract_z
Ru1 0.530 0.000 0.499
Cr1 0.933 0.000 0.004
Cr2 0.801 0.500 0.241
Al1 0.237 0.500 0.756
```

Output
Symmetry: No. 6
E_form in meV/atom: -44


[9]
VASP calculation (GGA-PBEsol) on a relaxed structure of Sr2TeRh.

```
data_Sr2TeRh
_chemical_formula_sum 'Sr2 Te1 Rh1'
_space_group_name_H-M_alt 'P 1'
_space_group_IT_number 1
_cell_length_a 3.928
_cell_length_b 3.928
_cell_length_c 6.927
_cell_angle_alpha 90.00
_cell_angle_beta 90.05
_cell_angle_gamma 90.00
loop_
_space_group_symop_operation_xyz
'x,y,z'
loop_
_atom_site_label
_atom_site_fract_x
_atom_site_fract_y
_atom_site_fract_z
Rh1 0.500 0.500 0.500
Te1 0.500 0.500 0.000
Sr1 0.001 0.000 0.263
Sr2 0.999 0.000 0.737
```

Output
Raw formation energy in meV per atom: -620
Symmetry: No. 123


[10]
VASP calculation (GGA-PBEsol) on a relaxed structure of Rb3CrF6.

```
data_Rb3CrF6
_chemical_formula_sum 'Rb3 Cr1 F6'
_space_group_name_H-M_alt 'P 1'
_space_group_IT_number 1
_cell_length_a 5.829
_cell_length_b 6.612
_cell_length_c 6.118
_cell_angle_alpha 113.04
_cell_angle_beta 99.30
_cell_angle_gamma 111.47
loop_
_space_group_symop_operation_xyz
'x,y,z'
loop_
_atom_site_label
_atom_site_fract_x
_atom_site_fract_y
_atom_site_fract_z
Rb1 0.720 0.439 0.220
Rb2 0.280 0.561 0.780
Rb3 0.500 0.000 0.500
F1 0.274 0.250 0.322
F2 0.976 0.250 0.928
F3 0.726 0.750 0.678
F4 0.742 0.000 0.162
F5 0.258 0.000 0.838
F6 0.024 0.750 0.072
Cr1 0.000 0.000 0.000
```

Output
Raw formation energy in meV per atom: -2744
Symmetry: No. 12


[11]
VASP calculation (GGA-PBEsol) on a relaxed structure of Sm2TlIn.

```
data_Sm2TlIn
_chemical_formula_sum 'Sm2 Tl1 In1'
_space_group_name_H-M_alt 'P 1'
_space_group_IT_number 1
_cell_length_a 5.345
_cell_length_b 5.345
_cell_length_c 5.345
_cell_angle_alpha 60.00
_cell_angle_beta 60.00
_cell_angle_gamma 60.00
loop_
_space_group_symop_operation_xyz
'x,y,z'
loop_
_atom_site_label
_atom_site_fract_x
_atom_site_fract_y
_atom_site_fract_z
Sm1 0.750 0.750 0.750
Sm2 0.250 0.250 0.250
In1 0.500 0.500 0.500
Tl1 0.000 0.000 0.000
```

Output
Symmetry: No. 225
E_form in meV/atom: -491


[12]
VASP calculation (GGA-PBEsol) on a relaxed structure of KBa2Se.

```
data_KBa2Se
_chemical_formula_sum 'K1 Ba2 Se1'
_space_group_name_H-M_alt 'P 1'
_space_group_IT_number 1
_cell_length_a 4.101
_cell_length_b 4.101
_cell_length_c 11.196
_cell_angle_alpha 90.00
_cell_angle_beta 90.00
_cell_angle_gamma 90.00
loop_
_space_group_symop_operation_xyz
'x,y,z'
loop_
_atom_site_label
_atom_site_fract_x
_atom_site_fract_y
_atom_site_fract_z
Ba1 0.000 0.000 0.902
Ba2 0.500 0.500 0.239
K1 0.000 0.000 0.587
Se1 0.500 0.500 0.772
```

Output
Raw formation energy in meV per atom: -777
Symmetry: No. 99


Which formula does entry 4 have?
Na2CoPd